Record 1
DFT (PBE) results for a geometry-optimized CeThRePd structure.

Calculated values
Energy of formation   -0.217 eV per atom
SG   No. 216

Unit cell a=5.033 b=5.033 c=5.033 alpha=60.00 beta=60.00 gamma=60.00
Each line ends with the local moment (μB).
Fractional coordinates of all 4 atoms:
Re (0.750, 0.750, 0.750)  -0.06
Pd (0.250, 0.250, 0.250)  0.00
Ce (0.500, 0.500, 0.500)  0.37
Th (0.000, 0.000, 0.000)  0.04

=====

Record 2
DFT (PBE) results for a geometry-optimized CeZrRePd structure.

Calculated values
Energy of formation   -0.265 eV per atom
SG   No. 216

Unit cell a=4.825 b=4.825 c=4.825 alpha=60.00 beta=60.00 gamma=60.00
Each line ends with the local moment (μB).
Fractional coordinates of all 4 atoms:
Re (0.500, 0.500, 0.500)  -0.04
Zr (0.750, 0.750, 0.750)  0.04
Pd (0.000, 0.000, 0.000)  0.00
Ce (0.250, 0.250, 0.250)  0.27

=====

Record 3
DFT (PBE) results for a geometry-optimized Ce4PdRh structure.

Calculated values
Energy of formation   -0.329 eV per atom
SG   No. 15

Unit cell a=6.770 b=6.804 c=8.131 alpha=104.63 beta=104.45 gamma=113.48
Each line ends with the local moment (μB).
Fractional coordinates of all 12 atoms:
Ce (0.260, 0.000, 0.530)  0.47
Ce (0.062, 0.820, 0.127)  0.22
Ce (0.230, 0.469, 0.470)  0.47
Ce (0.435, 0.694, 0.873)  0.22
Ce (0.740, 0.000, 0.470)  0.47
Ce (0.770, 0.531, 0.530)  0.47
Ce (0.938, 0.180, 0.873)  0.22
Ce (0.565, 0.306, 0.127)  0.22
Pd (0.342, 0.592, 0.183)  -0.01
Pd (0.658, 0.408, 0.817)  -0.01
Rh (0.835, 0.085, 0.169)  -0.03
Rh (0.165, 0.915, 0.831)  -0.03

=====

Record 4
DFT (PBE) results for a geometry-optimized Ce3Pd3Rh2 structure.

Calculated values
Energy of formation   -0.755 eV per atom
SG   No. 189

Unit cell a=3.734 b=7.115 c=7.115 alpha=120.00 beta=90.00 gamma=90.00
Each line ends with the local moment (μB).
Fractional coordinates of all 8 atoms:
Ce (0.500, 0.374, 0.374)  0.28
Ce (0.500, 0.626, 0.000)  0.28
Ce (0.500, 0.000, 0.626)  0.28
Pd (0.000, 0.772, 0.772)  -0.01
Pd (0.000, 0.228, 0.000)  -0.01
Pd (0.000, 0.000, 0.228)  -0.01
Rh (0.000, 0.333, 0.667)  -0.03
Rh (0.000, 0.667, 0.333)  -0.03

=====

Record 5
DFT (PBE) results for a geometry-optimized Ce3PdRh5 structure.

Calculated values
Energy of formation   -0.701 eV per atom
SG   No. 193

Unit cell a=5.791 b=8.125 c=8.126 alpha=120.00 beta=90.00 gamma=90.00
Fractional coordinates of all 18 atoms:
Ce (0.750, 0.345, 0.345)
Ce (0.750, 0.000, 0.655)
Ce (0.750, 0.655, 0.000)
Ce (0.250, 0.655, 0.655)
Ce (0.250, 0.000, 0.345)
Ce (0.250, 0.345, 0.000)
Pd (0.000, 0.000, 0.000)
Pd (0.500, 0.000, 0.000)
Rh (0.000, 0.667, 0.333)
Rh (0.500, 0.333, 0.667)
Rh (0.000, 0.333, 0.667)
Rh (0.500, 0.667, 0.333)
Rh (0.750, 0.676, 0.676)
Rh (0.750, 0.000, 0.324)
Rh (0.750, 0.324, 0.000)
Rh (0.250, 0.324, 0.324)
Rh (0.250, 0.000, 0.676)
Rh (0.250, 0.676, 0.000)

=====

Record 6
DFT (PBE) results for a geometry-optimized Ce3Pd2Rh3 structure.

Calculated values
Energy of formation   -0.663 eV per atom
SG   No. 193

Unit cell a=5.718 b=8.005 c=8.005 alpha=120.00 beta=90.00 gamma=90.00
Each line ends with the local moment (μB).
Fractional coordinates of all 16 atoms:
Ce (0.750, 0.276, 0.000)  0.12
Ce (0.750, 0.724, 0.724)  0.12
Ce (0.750, 0.000, 0.276)  0.12
Ce (0.250, 0.724, 0.000)  0.12
Ce (0.250, 0.276, 0.276)  0.12
Ce (0.250, 0.000, 0.724)  0.12
Pd (0.000, 0.333, 0.667)  0.00
Pd (0.500, 0.667, 0.333)  0.00
Pd (0.000, 0.667, 0.333)  0.00
Pd (0.500, 0.333, 0.667)  0.00
Rh (0.750, 0.627, 0.000)  -0.01
Rh (0.750, 0.373, 0.373)  -0.01
Rh (0.750, 0.000, 0.627)  -0.01
Rh (0.250, 0.373, 0.000)  -0.01
Rh (0.250, 0.627, 0.627)  -0.01
Rh (0.250, 0.000, 0.373)  -0.01

=====

Record 7
DFT (PBE) results for a geometry-optimized Ce4PdRh2 structure.

Calculated values
Energy of formation   -0.522 eV per atom
SG   No. 12

Unit cell a=4.139 b=7.193 c=7.359 alpha=118.06 beta=106.34 gamma=90.00
Each line ends with the local moment (μB).
Fractional coordinates of all 7 atoms:
Ce (0.864, 0.221, 0.728)  0.74
Ce (0.136, 0.779, 0.272)  0.74
Ce (0.619, 0.318, 0.239)  0.65
Ce (0.381, 0.682, 0.761)  0.65
Pd (0.000, 0.000, 0.000)  -0.02
Rh (0.766, 0.763, 0.533)  -0.07
Rh (0.234, 0.237, 0.467)  -0.07

=====

Record 8
DFT (PBE) results for a geometry-optimized Ce2PdRh4 structure.

Calculated values
Energy of formation   -0.495 eV per atom
SG   No. 64

Unit cell a=9.515 b=5.461 c=5.578 alpha=119.31 beta=90.00 gamma=90.00
Each line ends with the local moment (μB).
Fractional coordinates of all 14 atoms:
Ce (0.000, 0.652, 0.303)  0.35
Ce (0.000, 0.348, 0.697)  0.35
Ce (0.500, 0.848, 0.697)  0.35
Ce (0.500, 0.152, 0.303)  0.35
Pd (0.000, 0.000, 0.000)  -0.01
Pd (0.500, 0.500, 0.000)  -0.01
Rh (0.755, 0.730, 0.000)  -0.03
Rh (0.750, 0.725, 0.500)  -0.02
Rh (0.750, 0.225, 0.500)  -0.02
Rh (0.745, 0.230, 0.000)  -0.03
Rh (0.255, 0.770, 0.000)  -0.03
Rh (0.250, 0.775, 0.500)  -0.02
Rh (0.250, 0.275, 0.500)  -0.02
Rh (0.245, 0.270, 0.000)  -0.03

=====

Record 9
DFT (PBE) results for a geometry-optimized Ce4Pd6Rh7 structure.

Calculated values
Energy of formation   -0.580 eV per atom
SG   No. 229

Unit cell a=7.332 b=7.332 c=7.332 alpha=109.47 beta=109.47 gamma=109.47
Fractional coordinates of all 17 atoms:
Ce (0.500, 0.000, 0.000)
Ce (0.500, 0.500, 0.500)
Ce (0.000, 0.500, 0.000)
Ce (0.000, 0.000, 0.500)
Pd (0.699, 0.000, 0.699)
Pd (0.699, 0.699, 0.000)
Pd (0.000, 0.301, 0.301)
Pd (0.301, 0.000, 0.301)
Pd (0.301, 0.301, 0.000)
Pd (0.000, 0.699, 0.699)
Rh (0.750, 0.500, 0.250)
Rh (0.250, 0.750, 0.500)
Rh (0.500, 0.750, 0.250)
Rh (0.750, 0.250, 0.500)
Rh (0.250, 0.500, 0.750)
Rh (0.500, 0.250, 0.750)
Rh (0.000, 0.000, 0.000)

=====

Record 10
DFT (PBE) results for a geometry-optimized Ce3PdRh structure.

Calculated values
Energy of formation   -0.483 eV per atom
SG   No. 2

Unit cell a=4.415 b=7.493 c=9.397 alpha=125.11 beta=89.91 gamma=107.22
Each line ends with the local moment (μB).
Fractional coordinates of all 10 atoms:
Ce (0.421, 0.836, 0.045)  0.55
Ce (0.071, 0.141, 0.444)  0.15
Ce (0.698, 0.396, 0.698)  0.18
Ce (0.302, 0.604, 0.302)  0.18
Ce (0.579, 0.164, 0.955)  0.55
Ce (0.929, 0.859, 0.556)  0.15
Pd (0.669, 0.337, 0.349)  0.00
Pd (0.331, 0.663, 0.651)  0.00
Rh (0.832, 0.663, 0.127)  -0.04
Rh (0.168, 0.337, 0.873)  -0.04

=====

Record 11
DFT (PBE) results for a geometry-optimized Ce8PdRh5 structure.

Calculated values
Energy of formation   -0.642 eV per atom
SG   No. 82

Unit cell a=7.545 b=7.545 c=7.545 alpha=109.14 beta=110.13 gamma=109.14
Each line ends with the local moment (μB).
Fractional coordinates of all 14 atoms:
Ce (0.122, 0.758, 0.996)  0.52
Ce (0.004, 0.127, 0.762)  0.52
Ce (0.737, 0.246, 0.372)  0.47
Ce (0.628, 0.365, 0.874)  0.47
Ce (0.509, 0.635, 0.263)  0.47
Ce (0.635, 0.873, 0.878)  0.52
Ce (0.238, 0.242, 0.365)  0.52
Ce (0.126, 0.754, 0.491)  0.47
Pd (0.250, 0.500, 0.750)  -0.01
Rh (0.007, 0.382, 0.129)  -0.05
Rh (0.871, 0.878, 0.253)  -0.05
Rh (0.747, 0.618, 0.625)  -0.05
Rh (0.500, 0.000, 0.500)  -0.05
Rh (0.375, 0.122, 0.993)  -0.05

=====

Record 12
DFT (PBE) results for a geometry-optimized Ce2Pd9Rh structure.

Calculated values
Energy of formation   -0.514 eV per atom
SG   No. 123

Unit cell a=4.116 b=4.116 c=12.019 alpha=90.00 beta=90.00 gamma=90.00
Each line ends with the local moment (μB).
Fractional coordinates of all 12 atoms:
Ce (0.000, 0.000, 0.322)  -0.20
Ce (0.000, 0.000, 0.678)  -0.20
Pd (0.500, 0.500, 0.000)  0.02
Pd (0.500, 0.500, 0.329)  0.01
Pd (0.500, 0.500, 0.671)  0.01
Pd (0.500, 0.000, 0.159)  0.01
Pd (0.500, 0.000, 0.500)  0.01
Pd (0.500, 0.000, 0.841)  0.01
Pd (0.000, 0.500, 0.159)  0.01
Pd (0.000, 0.500, 0.500)  0.01
Pd (0.000, 0.500, 0.841)  0.01
Rh (0.000, 0.000, 0.000)  0.06